Record 1
Compound: LiScRh2
Source: the Alexandria database
Functional: PBE
Structure: relaxed

a b c (Å): 5.104 5.104 4.432
angles (deg): 68.61 68.61 34.82
Element x y z (fractional)
Rh 0.006 0.006 0.064
Rh 0.742 0.742 0.692
Li 0.262 0.262 0.186
Sc 0.489 0.489 0.559

Results
The value obtained for the energy of formation is -0.48 eV/atom. For the electronic total energy, the calculation gives -0.22843 Ha/atom.



Record 2
Compound: LiSc2Si2Rh5
Source: the Alexandria database
Functional: PBE
Structure: relaxed

a b c (Å): 3.304 9.546 9.546
angles (deg): 90.00 90.00 90.00
Element x y z (fractional)
Li 0.000 0.500 0.500
Li 0.000 0.000 0.000
Sc 0.000 0.171 0.329
Sc 0.000 0.671 0.171
Sc 0.000 0.829 0.671
Sc 0.000 0.329 0.829
Si 0.000 0.631 0.869
Si 0.000 0.869 0.369
Si 0.000 0.131 0.631
Si 0.000 0.369 0.131
Rh 0.500 0.000 0.500
Rh 0.500 0.569 0.705
Rh 0.500 0.705 0.431
Rh 0.500 0.069 0.795
Rh 0.500 0.295 0.569
Rh 0.500 0.795 0.931
Rh 0.500 0.500 0.000
Rh 0.500 0.431 0.295
Rh 0.500 0.205 0.069
Rh 0.500 0.931 0.205

Results
For the electronic total energy, the calculation gives -0.26072 Ha/atom. The value obtained for the formation energy (no corrections) is -8.8 eV per formula unit.



Record 3
Compound: LiSc2SnRh4
Source: the Alexandria database
Functional: PBE
Structure: relaxed

a b c (Å): 4.485 4.485 7.752
angles (deg): 73.19 73.19 60.00
Element x y z (fractional)
Rh 0.875 0.875 0.376
Rh 0.375 0.375 0.874
Rh 0.125 0.125 0.624
Rh 0.625 0.625 0.126
Sn 0.000 0.000 0.000
Sc 0.754 0.754 0.739
Sc 0.246 0.246 0.261
Li 0.500 0.500 0.500

Results
The value obtained for the energy of formation is -0.77 eV/atom. For the electronic total energy, the calculation gives -0.24869 Ha/atom.



Record 4
Compound: LiScTaRh2
Source: the Alexandria database
Functional: PBE
Structure: relaxed

a b c (Å): 4.746 5.124 4.746
angles (deg): 90.00 90.00 90.00
Element x y z (fractional)
Li 0.500 0.500 0.500
Rh 0.500 0.000 0.000
Rh 0.000 0.000 0.500
Ta 0.000 0.000 0.000
Sc 0.000 0.500 0.000

Results
The value obtained for the energy of formation is 0.58 eV/atom. For the electronic total energy, the calculation gives -0.23436 Ha/atom.



Record 5
Compound: LiThScRh
Source: the Alexandria database
Functional: PBE
Structure: relaxed

a b c (Å): 4.902 4.902 4.902
angles (deg): 60.00 60.00 60.00
Element x y z (fractional)
Th 0.250 0.250 0.250
Rh 0.500 0.500 0.500
Sc 0.750 0.750 0.750
Li 0.000 0.000 0.000

Results
The value obtained for the energy of formation is -0.36 eV/atom. For the electronic total energy, the calculation gives -0.22486 Ha/atom.



Record 6
Compound: LiScTlRh
Source: the Alexandria database
Functional: PBE
Structure: relaxed

a b c (Å): 4.644 4.644 4.644
angles (deg): 60.00 60.00 60.00
Element x y z (fractional)
Sc 0.750 0.750 0.750
Tl 0.250 0.250 0.250
Li 0.500 0.500 0.500
Rh 0.000 0.000 0.000

Results
The value obtained for the energy of formation is -0.42 eV/atom. For the electronic total energy, the calculation gives -0.18047 Ha/atom.



Record 7
Compound: LiTmSc2Rh4
Source: the Alexandria database
Functional: PBE
Structure: relaxed

a b c (Å): 4.526 4.526 7.896
angles (deg): 73.35 73.35 60.00
Element x y z (fractional)
Sc 0.242 0.242 0.273
Sc 0.758 0.758 0.727
Rh 0.378 0.378 0.867
Rh 0.125 0.125 0.625
Rh 0.622 0.622 0.133
Rh 0.875 0.875 0.375
Tm 0.000 0.000 0.000
Li 0.500 0.500 0.500

Results
The value obtained for the energy of formation is -0.81 eV/atom. For the electronic total energy, the calculation gives -0.25245 Ha/atom.



Record 8
Compound: LiTmScRh
Source: the Alexandria database
Functional: PBE
Structure: relaxed

a b c (Å): 4.752 4.752 4.752
angles (deg): 60.00 60.00 60.00
Element x y z (fractional)
Tm 0.750 0.750 0.750
Sc 0.250 0.250 0.250
Rh 0.500 0.500 0.500
Li 0.000 0.000 0.000

Results
The value obtained for the energy of formation is -0.53 eV/atom. For the electronic total energy, the calculation gives -0.20391 Ha/atom.



Record 9
Compound: Li2ScRhW
Source: the Alexandria database
Functional: PBE
Structure: relaxed

a b c (Å): 4.338 4.772 4.338
angles (deg): 90.00 90.00 90.00
Element x y z (fractional)
W 0.500 0.500 0.500
Li 0.500 0.000 0.000
Li 0.000 0.000 0.500
Sc 0.000 0.500 0.000
Rh 0.000 0.000 0.000

Results
The value obtained for the energy of formation is 0.96 eV/atom. For the electronic total energy, the calculation gives -0.18875 Ha/atom.



Record 10
Compound: Li2ScRhW
Source: the Alexandria database
Functional: PBE
Structure: relaxed

a b c (Å): 4.303 4.505 4.303
angles (deg): 90.00 90.00 90.00
Element x y z (fractional)
Rh 0.000 0.500 0.000
W 0.500 0.500 0.500
Li 0.000 0.000 0.500
Li 0.500 0.000 0.000
Sc 0.000 0.000 0.000

Results
The value obtained for the energy of formation is 1.32 eV/atom. For the electronic total energy, the calculation gives -0.17539 Ha/atom.



Record 11
Compound: LiYScRh
Source: the Alexandria database
Functional: PBE
Structure: relaxed

a b c (Å): 4.799 4.799 4.799
angles (deg): 60.00 60.00 60.00
Element x y z (fractional)
Rh 0.250 0.250 0.250
Li 0.750 0.750 0.750
Sc 0.500 0.500 0.500
Y 0.000 0.000 0.000

Results
The value obtained for the energy of formation is -0.49 eV/atom. For the electronic total energy, the calculation gives -0.22073 Ha/atom.



Record 12
Compound: Li2ScZnRh
Source: the Alexandria database
Functional: PBE
Structure: relaxed

a b c (Å): 4.430 4.775 4.430
angles (deg): 90.00 90.00 90.00
Element x y z (fractional)
Li 0.000 0.000 0.500
Li 0.500 0.000 0.000
Sc 0.500 0.500 0.500
Rh 0.000 0.000 0.000
Zn 0.000 0.500 0.000

Results
The value obtained for the energy of formation is 0.15 eV/atom. For the electronic total energy, the calculation gives -0.13267 Ha/atom.



Record 13
Compound: LiZr2ScRh4
Source: the Alexandria database
Functional: PBE
Structure: relaxed

a b c (Å): 4.543 4.543 7.854
angles (deg): 73.19 73.19 60.00
Element x y z (fractional)
Li 0.500 0.500 0.500
Rh 0.877 0.877 0.370
Rh 0.123 0.123 0.630
Rh 0.626 0.626 0.122
Rh 0.374 0.374 0.878
Sc 0.000 0.000 0.000
Zr 0.245 0.245 0.265
Zr 0.755 0.755 0.735

Results
The value obtained for the energy of formation is -0.80 eV/atom. For the electronic total energy, the calculation gives -0.28075 Ha/atom.



Record 14
Compound: Li2RhSe
Source: the Alexandria database
Functional: PBE
Structure: relaxed

a b c (Å): 4.435 3.215 4.823
angles (deg): 71.99 90.00 90.00
Element x y z (fractional)
Li 0.500 0.284 0.289
Li 0.000 0.965 0.965
Se 0.500 0.581 0.722
Rh 0.000 0.670 0.523

Results
For the electronic total energy, the calculation gives -0.15082 Ha/atom. The value obtained for the formation energy (no corrections) is -1.8 eV per formula unit.



Record 15
Compound: Li2RhSe
Source: the Alexandria database
Functional: PBE
Structure: relaxed

a b c (Å): 5.819 4.615 2.990
angles (deg): 89.93 59.21 117.68
Element x y z (fractional)
Se 0.500 0.500 0.000
Li 0.500 0.000 0.500
Li 0.000 0.000 0.000
Rh 0.000 0.500 0.500

Results
For the electronic total energy, the calculation gives -0.15080 Ha/atom. The value obtained for the formation energy (no corrections) is -1.8 eV per formula unit.



Record 16
Compound: Li2RhSe
Source: the Alexandria database
Functional: PBE
Structure: relaxed

a b c (Å): 8.500 8.500 8.500
angles (deg): 19.45 19.45 19.45
Each line ends with the local moment (μB).
Element x y z (fractional)
Li 0.501 0.501 0.501  0.00
Li 0.999 0.999 0.999  0.00
Rh 0.250 0.250 0.250  0.24
Se 0.750 0.750 0.750  0.00

Results
For the electronic total energy, the calculation gives -0.14448 Ha/atom. The value obtained for the formation energy (no corrections) is -1.1 eV per formula unit.



Record 17
Compound: Li2RhSe
Source: the Alexandria database
Functional: PBE
Structure: relaxed

a b c (Å): 2.773 2.773 7.992
angles (deg): 90.00 90.00 90.00
Each line ends with the local moment (μB).
Element x y z (fractional)
Li 0.000 0.000 0.012  0.00
Li 0.000 0.000 0.488  0.00
Se 0.500 0.500 0.750  0.00
Rh 0.500 0.500 0.250  0.29

Results
For the electronic total energy, the calculation gives -0.14467 Ha/atom. The value obtained for the formation energy (no corrections) is -1.1 eV per formula unit.



Record 18
Compound: Li2RhSe
Source: the Alexandria database
Functional: PBE
Structure: relaxed

a b c (Å): 2.788 2.788 8.112
angles (deg): 90.00 90.00 103.00
Each line ends with the local moment (μB).
Element x y z (fractional)
Rh 0.500 0.500 0.250  0.78
Se 0.500 0.500 0.750  0.00
Li 0.000 0.000 0.491  -0.01
Li 0.000 0.000 0.009  -0.01

Results
For the electronic total energy, the calculation gives -0.14486 Ha/atom. The value obtained for the formation energy (no corrections) is -1.1 eV per formula unit.



Record 19
Compound: Li2RhSe
Source: the Alexandria database
Functional: PBE
Structure: relaxed

a b c (Å): 3.334 3.334 5.488
angles (deg): 90.00 90.00 90.00
Element x y z (fractional)
Li 0.000 0.000 0.993
Li 0.500 0.500 0.261
Rh 0.000 0.000 0.516
Se 0.500 0.500 0.730

Results
For the electronic total energy, the calculation gives -0.14714 Ha/atom. The value obtained for the formation energy (no corrections) is -1.4 eV per formula unit.



Record 20
Compound: LiRhSe3
Source: the Alexandria database
Functional: PBE
Structure: relaxed

a b c (Å): 4.954 4.954 4.954
angles (deg): 90.00 90.00 90.00
Each line ends with the local moment (μB).
Element x y z (fractional)
Se 0.500 0.000 0.000  0.32
Se 0.000 0.000 0.500  0.07
Se 0.000 0.500 0.000  0.16
Li 0.500 0.500 0.500  0.00
Rh 0.000 0.000 0.000  0.35

Results
For the electronic total energy, the calculation gives -0.14362 Ha/atom. The value obtained for the formation energy (no corrections) is 0.2 eV per formula unit.



Record 21
Compound: LiRh2Se2
Source: the Alexandria database
Functional: PBE
Structure: relaxed

a b c (Å): 3.964 3.964 6.699
angles (deg): 72.79 72.79 90.00
Element x y z (fractional)
Rh 0.250 0.750 0.500
Rh 0.750 0.250 0.500
Li 0.000 0.000 0.000
Se 0.375 0.375 0.249
Se 0.625 0.625 0.751

Results
For the electronic total energy, the calculation gives -0.18571 Ha/atom. The value obtained for the formation energy (no corrections) is -1.7 eV per formula unit.



Record 22
Compound: LiRhSe4
Source: the Alexandria database
Functional: PBE
Structure: relaxed

a b c (Å): 5.633 5.633 5.633
angles (deg): 60.00 60.00 60.00
Each line ends with the local moment (μB).
Element x y z (fractional)
Se 0.374 0.877 0.374  0.05
Se 0.374 0.374 0.877  0.05
Se 0.877 0.374 0.374  0.05
Se 0.374 0.374 0.374  0.05
Li 0.750 0.750 0.750  0.00
Rh 0.000 0.000 0.000  0.90

Results
For the electronic total energy, the calculation gives -0.12262 Ha/atom. The value obtained for the formation energy (no corrections) is 3.2 eV per formula unit.



Record 23
Compound: Li2RhSe
Source: the Alexandria database
Functional: PBE
Structure: relaxed

a b c (Å): 4.279 4.279 4.279
angles (deg): 60.00 60.00 60.00
Element x y z (fractional)
Li 0.250 0.250 0.250
Li 0.000 0.000 0.000
Rh 0.500 0.500 0.500
Se 0.750 0.750 0.750

Results
For the electronic total energy, the calculation gives -0.15332 Ha/atom. The value obtained for the formation energy (no corrections) is -2.0 eV per formula unit.



Record 24
Compound: Li2RhSe
Source: the Alexandria database
Functional: PBE
Structure: relaxed

a b c (Å): 3.782 3.782 9.053
angles (deg): 77.94 77.94 90.00
Element x y z (fractional)
Li 0.375 0.382 0.750
Li 0.875 0.868 0.750
Li 0.618 0.125 0.250
Li 0.132 0.625 0.250
Se 0.250 0.750 0.500
Se 0.500 0.500 0.000
Rh 0.000 0.000 0.000
Rh 0.750 0.250 0.500

Results
For the electronic total energy, the calculation gives -0.14749 Ha/atom. The value obtained for the formation energy (no corrections) is -1.4 eV per formula unit.



Record 25
Compound: LiRh2Se4
Source: the Alexandria database
Functional: PBE
Structure: relaxed

a b c (Å): 7.465 7.465 7.468
angles (deg): 60.01 60.01 89.88
Element x y z (fractional)
Rh 0.500 0.000 0.500
Rh 0.500 0.500 0.500
Rh 0.000 0.000 0.000
Rh 0.500 0.000 0.000
Li 0.875 0.625 0.750
Li 0.125 0.375 0.250
Se 0.264 0.790 0.973
Se 0.736 0.210 0.027
Se 0.737 0.763 0.027
Se 0.737 0.763 0.473
Se 0.290 0.764 0.473
Se 0.263 0.237 0.973
Se 0.710 0.236 0.527
Se 0.263 0.237 0.527

Results
For the electronic total energy, the calculation gives -0.18093 Ha/atom. The value obtained for the formation energy (no corrections) is -3.9 eV per formula unit.



Record 26
Compound: Li4RhSe
Source: the Alexandria database
Functional: PBE
Structure: relaxed

a b c (Å): 4.860 4.860 4.860
angles (deg): 60.00 60.00 60.00
Element x y z (fractional)
Se 0.000 0.000 0.000
Li 0.869 0.377 0.377
Li 0.377 0.377 0.869
Li 0.377 0.869 0.377
Li 0.377 0.377 0.377
Rh 0.750 0.750 0.750

Results
For the electronic total energy, the calculation gives -0.11881 Ha/atom. The value obtained for the formation energy (no corrections) is -0.9 eV per formula unit.



Record 27
Compound: Li2RhSe
Source: the Alexandria database
Functional: PBE
Structure: relaxed

a b c (Å): 4.605 4.605 4.280
angles (deg): 69.43 69.43 44.51
Element x y z (fractional)
Li 0.748 0.748 0.770
Li 0.989 0.989 0.973
Rh 0.520 0.520 0.419
Se 0.243 0.243 0.338

Results
For the electronic total energy, the calculation gives -0.15507 Ha/atom. The value obtained for the formation energy (no corrections) is -2.2 eV per formula unit.



Record 28
Compound: Li2RhSe
Source: the Alexandria database
Functional: PBE
Structure: relaxed

a b c (Å): 3.771 3.770 3.936
angles (deg): 90.00 90.00 90.00
Element x y z (fractional)
Rh 0.500 0.000 0.500
Se 0.000 0.500 0.500
Li 0.500 0.500 0.000
Li 0.000 0.000 0.000

Results
For the electronic total energy, the calculation gives -0.15469 Ha/atom. The value obtained for the formation energy (no corrections) is -2.2 eV per formula unit.